No. 1
Sc2CrAu | GGA-PBE | optimized geometry

Cell: 8.957 8.957 8.957 Å, 20.65 20.65 20.65°
Sites, in units of the cell vectors:
Sc 0.247 0.247 0.247
Sc 0.753 0.753 0.753
Cr 0.500 0.500 0.500
Au 0.000 0.000 0.000

Results
VASP energy: -25.42 eV/cell
formation enthalpy at 0 K: 37 meV/atom
spin magnetization: 2.51 μB/f.u.
SG: R-3m (166)

No. 2
CeNi2Pd | GGA-PBE | optimized geometry

Cell: 4.044 4.044 3.869 Å, 90.00 90.00 90.00°
Sites, in units of the cell vectors:
Ce 0.000 0.000 0.000
Ni 0.000 0.500 0.500
Ni 0.500 0.000 0.500
Pd 0.500 0.500 0.000

Results
VASP energy: -24.40 eV/cell
polymorph energy (0 for the lowest one): 0.0 kJ per mole of atoms
formation enthalpy at 0 K: -428 meV/atom
spin magnetization: 0.24 μB/f.u.
SG: P4/mmm (123)

No. 3
Cu2PPt2 | GGA-PBE | optimized geometry

Cell: 7.274 7.274 7.274 Å, 154.01 154.01 37.08°
Sites, in units of the cell vectors:
Cu 0.250 0.750 0.500
Cu 0.750 0.250 0.500
P 0.000 0.000 0.000
Pt 0.402 0.402 0.000
Pt 0.598 0.598 0.000

Results
VASP energy: -25.08 eV/cell
formation enthalpy at 0 K: 120 meV/atom
spin magnetization: 0.00 μB/f.u.
SG: I4/mmm (139)

No. 4
KCdS2Cl | GGA-PBE | optimized geometry

Cell: 5.021 5.021 5.669 Å, 90.00 90.00 90.00°
Sites, in units of the cell vectors:
K 0.000 0.000 0.000
Cd 0.500 0.500 0.500
S 0.000 0.500 0.500
S 0.500 0.000 0.500
Cl 0.500 0.500 0.000

Results
formation energy from raw total energies: -41 kJ per mole of atoms
VASP energy: -14.24 eV/cell
polymorph energy (0 for the lowest one): 0.0 kJ per mole of atoms
spin magnetization: 1.30 μB/f.u.
SG: P4/mmm (123)

No. 5
PrNdDy4Se8 | GGA-PBE | optimized geometry

Cell: 8.556 8.556 8.556 Å, 59.48 59.48 59.48°
Sites, in units of the cell vectors:
Pr 0.000 0.000 0.000
Nd 0.626 0.626 0.626
Dy 0.130 0.626 0.626
Dy 0.253 0.253 0.253
Dy 0.626 0.130 0.626
Dy 0.626 0.626 0.130
Se 0.377 0.377 0.860
Se 0.377 0.860 0.377
Se 0.385 0.385 0.385
Se 0.407 0.872 0.872
Se 0.860 0.377 0.377
Se 0.864 0.864 0.864
Se 0.872 0.407 0.872
Se 0.872 0.872 0.407

Results
formation energy from raw total energies: -166 kJ per mole of atoms
VASP energy: -79.87 eV/cell
spin magnetization: 0.00 μB/f.u.
SG: R3m (160)

No. 6
ScIn2Fe | GGA-PBE | optimized geometry

Cell: 3.350 3.350 7.214 Å, 90.00 90.00 90.00°
Sites, in units of the cell vectors:
Sc 0.000 0.000 0.000
In 0.000 0.000 0.408
In 0.500 0.500 0.717
Fe 0.500 0.500 0.200

Results
VASP energy: -20.25 eV/cell
formation enthalpy at 0 K: 6 meV/atom
spin magnetization: 1.69 μB/f.u.
SG: P4mm (99)